(1)
TbGaCu, optimized geometry, DFT GGA-PBE; energy of formation from the pure elements = -0.262 eV per atom; total moment = 0.00 Bohr magnetons per cell; theoretical density = 8.5 g/cm³
1.0
-1.625 1.625 5.385
1.625 -1.625 5.385
1.625 1.625 -5.385
Tb Ga Cu
1 1 1
Direct
0.000 0.000 0.000 Tb
0.697 0.697 0.000 Ga
0.315 0.315 0.000 Cu


(2)
Tb2Ga3Cu5, optimized geometry, DFT GGA-PBE; energy of formation from the pure elements = -0.297 eV per atom; total moment = 0.00 Bohr magnetons per cell; theoretical density = 8.2 g/cm³; distance to the lowest polymorph of the same formula = 58 meV per atom
1.0
4.021 0.000 0.000
0.000 4.021 0.000
0.000 0.000 10.585
Tb Ga Cu
2 3 5
Direct
0.000 0.500 0.239 Tb
0.500 0.000 0.761 Tb
0.000 0.500 0.644 Ga
0.500 0.000 0.356 Ga
0.500 0.500 0.500 Ga
0.000 0.000 0.000 Cu
0.000 0.000 0.500 Cu
0.000 0.500 0.868 Cu
0.500 0.000 0.132 Cu
0.500 0.500 0.000 Cu


(3)
Tb2Ga7Cu, optimized geometry, DFT GGA-PBE; energy of formation from the pure elements = -0.405 eV per atom; total moment = 0.00 Bohr magnetons per cell; theoretical density = 7.6 g/cm³
1.0
4.179 0.000 0.000
0.000 4.179 0.000
0.000 0.000 10.822
Tb Ga Cu
2 7 1
Direct
0.000 0.500 0.242 Tb
0.500 0.000 0.758 Tb
0.000 0.000 0.000 Ga
0.000 0.000 0.500 Ga
0.000 0.500 0.644 Ga
0.000 0.500 0.869 Ga
0.500 0.000 0.131 Ga
0.500 0.000 0.356 Ga
0.500 0.500 0.500 Ga
0.500 0.500 0.000 Cu


(4)
Tb4GaCu, optimized geometry, DFT GGA-PBE; energy of formation from the pure elements = -0.092 eV per atom; total moment = 0.00 Bohr magnetons per cell; theoretical density = 7.4 g/cm³
1.0
7.114 0.000 0.000
0.000 7.202 0.000
-0.455 0.000 6.698
Tb Ga Cu
8 2 2
Direct
0.159 0.162 0.171 Tb
0.159 0.338 0.671 Tb
0.334 0.654 0.120 Tb
0.334 0.846 0.620 Tb
0.666 0.154 0.380 Tb
0.666 0.346 0.880 Tb
0.841 0.662 0.329 Tb
0.841 0.838 0.829 Tb
0.500 0.000 0.000 Ga
0.500 0.500 0.500 Ga
0.000 0.000 0.500 Cu
0.000 0.500 0.000 Cu